Record 1
Computed, not measured: a relaxed structure of RbLiAg at the GGA-PBE level of DFT.

Calculated values
Its crystal system is cubic. As for the final energy: -1.66 eV/atom.

```
RbLiAg
1.0
0.000 3.885 3.885
3.885 0.000 3.885
3.885 3.885 0.000
Li Rb Ag
1 1 1
direct
0.250 0.250 0.250 Li
0.750 0.750 0.750 Rb
0.000 0.000 0.000 Ag
```


Record 2
Computed, not measured: a relaxed structure of LiReAgTe2S at the GGA-PBE level of DFT.

Calculated values
Its crystal system is orthorhombic. As for the final energy: -4.51 eV/atom.

```
LiReAgTe2S
1.0
1.811 -7.075 0.000
1.811 7.075 0.000
0.000 0.000 9.820
Ag Re Te S Li
2 2 4 2 2
direct
0.557 0.443 0.750 Ag
0.443 0.557 0.250 Ag
0.000 0.000 0.000 Re
0.000 0.000 0.500 Re
0.647 0.353 0.989 Te
0.353 0.647 0.011 Te
0.353 0.647 0.489 Te
0.647 0.353 0.511 Te
0.931 0.069 0.750 S
0.069 0.931 0.250 S
0.740 0.260 0.250 Li
0.260 0.740 0.750 Li
```


Record 3
Computed, not measured: a relaxed structure of LiReAgTeS2 at the GGA-PBE level of DFT.

Calculated values
Its crystal system is orthorhombic. As for the final energy: -4.87 eV/atom.

```
LiReAgTeS2
1.0
-4.324 -3.438 4.463
4.001 0.417 -5.853
8.121 -3.312 5.316
Li Ag Re S Te
2 2 2 4 2
direct
0.264 0.736 0.750 Li
0.736 0.264 0.250 Li
0.921 0.079 0.750 Ag
0.079 0.921 0.250 Ag
0.500 0.500 0.000 Re
0.500 0.500 0.500 Re
0.127 0.873 0.026 S
0.127 0.873 0.474 S
0.873 0.127 0.526 S
0.873 0.127 0.974 S
0.406 0.594 0.250 Te
0.594 0.406 0.750 Te
```


Record 4
Computed, not measured: a relaxed structure of LiReAgTe3 at the GGA-PBE level of DFT.

Calculated values
Its crystal system is orthorhombic. As for the final energy: -4.35 eV/atom.

```
LiReAgTe3
1.0
-5.040 5.134 1.252
-6.058 3.575 -1.963
-5.859 -7.036 5.267
Te Re Ag Li
6 2 2 2
direct
0.357 0.357 0.478 Te
0.357 0.357 0.022 Te
0.643 0.643 0.522 Te
0.088 0.088 0.250 Te
0.912 0.912 0.750 Te
0.643 0.643 0.978 Te
0.000 0.000 0.000 Re
0.000 0.000 0.500 Re
0.439 0.439 0.250 Ag
0.561 0.561 0.750 Ag
0.232 0.232 0.750 Li
0.768 0.768 0.250 Li
```


Record 5
Computed, not measured: a relaxed structure of LiReAg3Te4 at the GGA-PBE level of DFT.

Calculated values
Its crystal system is cubic. As for the final energy: -3.85 eV/atom.

```
LiReAg3Te4
1.0
6.456 0.000 0.000
0.000 6.456 0.000
0.000 0.000 6.456
Te Ag Li Re
4 3 1 1
direct
0.741 0.259 0.741 Te
0.741 0.741 0.259 Te
0.259 0.259 0.259 Te
0.259 0.741 0.741 Te
0.500 0.500 0.000 Ag
0.000 0.500 0.500 Ag
0.500 0.000 0.500 Ag
0.000 0.000 0.000 Li
0.500 0.500 0.500 Re
```


Record 6
Computed, not measured: a relaxed structure of LiAgS at the GGA-PBE level of DFT.

Calculated values
Its crystal system is monoclinic. As for the final energy: -3.64 eV/atom.

```
LiAgS
1.0
4.058 0.000 0.000
0.000 4.472 0.000
-0.052 0.000 5.938
S Ag Li
2 2 2
direct
0.747 0.313 0.294 S
0.253 0.813 0.706 S
0.756 0.623 0.943 Ag
0.244 0.123 0.057 Ag
0.751 0.814 0.463 Li
0.249 0.314 0.537 Li
```


Record 7
Computed, not measured: a relaxed structure of LiAgS at the GGA-PBE level of DFT.

Calculated values
Its crystal system is orthorhombic. As for the final energy: -3.67 eV/atom.

```
LiAgS
1.0
-2.158 3.792 -0.747
-2.848 -1.395 3.088
3.253 2.681 4.212
Li S Ag
2 2 2
direct
0.250 0.250 0.500 Li
0.750 0.750 0.500 Li
0.250 0.750 0.314 S
0.750 0.250 0.686 S
0.500 0.000 0.000 Ag
0.000 0.500 0.000 Ag
```


Record 8
Computed, not measured: a relaxed structure of LiAgS at the GGA-PBE level of DFT.

Calculated values
Its crystal system is monoclinic. As for the final energy: -3.61 eV/atom.

```
LiAgS
1.0
-0.572 -2.577 -3.415
-2.082 -4.202 3.520
-4.884 3.066 0.772
Ag Li S
2 2 2
direct
0.502 0.960 0.500 Ag
0.498 0.460 0.500 Ag
0.245 0.580 0.954 Li
0.755 0.080 0.046 Li
0.303 0.210 0.162 S
0.697 0.710 0.838 S
```


Q: Which of these has the highest final energy?
A: RbLiAg


Copy entry 3 word for word.
Computed, not measured: a relaxed structure of LiReAgTeS2 at the GGA-PBE level of DFT.

Calculated values
Its crystal system is orthorhombic. As for the final energy: -4.87 eV/atom.

```
LiReAgTeS2
1.0
-4.324 -3.438 4.463
4.001 0.417 -5.853
8.121 -3.312 5.316
Li Ag Re S Te
2 2 2 4 2
direct
0.264 0.736 0.750 Li
0.736 0.264 0.250 Li
0.921 0.079 0.750 Ag
0.079 0.921 0.250 Ag
0.500 0.500 0.000 Re
0.500 0.500 0.500 Re
0.127 0.873 0.026 S
0.127 0.873 0.474 S
0.873 0.127 0.526 S
0.873 0.127 0.974 S
0.406 0.594 0.250 Te
0.594 0.406 0.750 Te
```


Q: Which formula does entry 2 have?
A: LiReAgTe2S